No. 1
Pr2Sm2Ag3 after structural relaxation. Source: Alexandria via LeMat-Bulk, functional GGA-PBE.

## Properties
Calculated volume   202.4 Å³/f.u.
Final energy   -4.051 eV per atom
SG   C2/m

Geometry as extended XYZ:
```
7
Lattice="4.5182 -2.6172 0.0000 4.5182 2.6172 0.0000 -2.9864 0.0000 8.5602" Properties=species:S:1:pos:R:3 pbc="T T T"
Pr 0.0075 0.0000 3.2638
Pr 6.0426 0.0000 5.2964
Sm 3.0134 0.0000 1.1147
Sm 3.0367 0.0000 7.4455
Ag 0.0000 0.0000 0.0000
Ag 0.0174 0.0000 6.5018
Ag 6.0327 0.0000 2.0584
```

---

No. 2
Pr3Sm2Ag3 after structural relaxation. Source: Alexandria via LeMat-Bulk, functional GGA-PBE.

## Properties
Calculated volume   230.5 Å³/f.u.
Final energy   -4.216 eV per atom
SG   Immm

Geometry as extended XYZ:
```
8
Lattice="-1.8903 2.7340 11.1495 1.8903 -2.7340 11.1495 1.8903 2.7340 -11.1495" Properties=species:S:1:pos:R:3 pbc="T T T"
Pr 0.0000 0.0000 0.0000
Pr 1.8903 0.0000 8.4476
Pr 0.0000 2.7340 2.7018
Sm 0.0000 0.0000 5.1651
Sm 0.0000 0.0000 17.1338
Ag 1.8903 0.0000 2.6606
Ag 0.0000 0.0000 11.1495
Ag 0.0000 2.7340 8.4888
```